Material: MgGeSbCl2
Method: DFT, meta-GGA SCAN
State: PBEsol geometry

Lattice parameters (Å, degrees): 5.132 5.132 5.772 90.00 90.00 90.00
Fractional coordinates of all 5 atoms:
1 Mg 0.000 0.000 0.000
2 Ge 0.500 0.500 0.000
3 Sb 0.000 0.000 0.500
4 Cl 0.000 0.500 0.500
5 Cl 0.500 0.000 0.500

Output
uncorrected formation energy	1.04	eV per formula unit